Record 1
! Ge2BBr (GGA-PBE, relaxed); values from VASP
! - formation energy without anion corrections (eV per atom) = 1.166
! - space group = Fm-3m (225)
! - theoretical density (g cm⁻³) = 5.4
! - energy above the lowest structure with this stoichiometry (kJ per mole of atoms) = 70.9
&SYSTEM
  ibrav = 0, nat = 4, ntyp = 3
/
ATOMIC_SPECIES
Br 79.90 Br.upf
Ge 72.64 Ge.upf
B 10.81 B.upf
ATOMIC_POSITIONS crystal
Br 0.500 0.500 0.500
Ge 0.250 0.250 0.250
B 0.000 0.000 0.000
Ge 0.750 0.750 0.750
CELL_PARAMETERS angstrom
-2.848 1.008 3.571
-1.966 4.234 0.300
-4.591 0.505 -0.741


Record 2
! Li2YThHg4 (GGA-PBE, relaxed); values from VASP
! - energy of formation from the pure elements (eV per formula unit) = -3.0
! - space group = R-3m (166)
! - theoretical density (g cm⁻³) = 10.1
&SYSTEM
  ibrav = 0, nat = 8, ntyp = 4
/
ATOMIC_SPECIES
Li 6.94 Li.upf
Y 88.91 Y.upf
Hg 200.59 Hg.upf
Th 232.04 Th.upf
ATOMIC_POSITIONS crystal
Li 0.752 0.752 0.745
Y 0.500 0.500 0.500
Hg 0.622 0.622 0.135
Hg 0.127 0.127 0.619
Hg 0.378 0.378 0.865
Hg 0.873 0.873 0.381
Th 0.000 0.000 0.000
Li 0.248 0.248 0.255
CELL_PARAMETERS angstrom
-2.085 -4.565 -0.818
1.190 -3.916 3.018
-6.642 -0.840 5.812